1.
# La2NbIn2 (PBE-GGA, relaxed)
data_La2NbIn2
_chemical_formula_sum 'La4 Nb2 In4'
_space_group_name_H-M_alt 'P 4/m b m'
_space_group_IT_number 127
_space_group_name_Hall '-P 4 2ab'
_cell_length_a 7.813
_cell_length_b 7.813
_cell_length_c 4.792
_cell_angle_alpha 90.00
_cell_angle_beta 90.00
_cell_angle_gamma 90.00
loop_
_atom_site_label
_atom_site_fract_x
_atom_site_fract_y
_atom_site_fract_z
La1 0.170 0.330 0.000
Nb1 0.000 0.000 0.500
In1 0.136 0.636 0.500
# **E above lowest polymorph**: 0.000 eV/f.u.
# **E_form**: -0.017 eV per atom
# **Energy**: -50.98 eV for the cell shown
# **Calculated volume**: 293 Å³/cell

***

2.
# SrCo2Mo (PBE-GGA, relaxed)
data_SrCo2Mo
_chemical_formula_sum 'Sr2 Co4 Mo2'
_space_group_name_H-M_alt 'A m m 2'
_space_group_IT_number 38
_space_group_name_Hall 'A 2 -2'
_cell_length_a 3.799
_cell_length_b 3.417
_cell_length_c 12.045
_cell_angle_alpha 90.00
_cell_angle_beta 90.00
_cell_angle_gamma 90.00
loop_
_atom_site_label
_atom_site_fract_x
_atom_site_fract_y
_atom_site_fract_z
Sr1 0.000 0.000 0.000
Co1 0.000 0.000 0.753
Co2 0.500 0.000 0.640
Mo1 0.500 0.000 0.270
# **E_form**: 0.557 eV per atom
# **Energy**: -48.99 eV for the cell shown
# **Calculated volume**: 156 Å³/cell

***

3.
# Zr2ScNi (PBE-GGA, relaxed)
data_Zr2ScNi
_chemical_formula_sum 'Zr2 Sc1 Ni1'
_space_group_name_H-M_alt 'P 4/m m m'
_space_group_IT_number 123
_space_group_name_Hall '-P 4 2'
_cell_length_a 4.204
_cell_length_b 4.204
_cell_length_c 4.447
_cell_angle_alpha 90.00
_cell_angle_beta 90.00
_cell_angle_gamma 90.00
loop_
_atom_site_label
_atom_site_fract_x
_atom_site_fract_y
_atom_site_fract_z
Zr1 0.000 0.500 0.000
Sc1 0.000 0.000 0.500
Ni1 0.500 0.500 0.500
# **E above lowest polymorph**: 1.015 eV/f.u.
# **E_form**: 0.011 eV per atom
# **Energy**: -29.16 eV for the cell shown
# **Calculated volume**: 79 Å³/cell